Record 1
PBE RbIn2Te2, relaxed; mass density = 5.6 g/cm3; formation energy (no corrections) = -0.3829 eV/atom
1.0
-6.093 2.675 6.110
1.391 -7.584 4.708
2.971 1.875 2.142
Te Rb In
4 2 4
direct
0.323 0.177 0.500 Te
0.677 0.823 0.500 Te
0.823 0.323 0.500 Te
0.177 0.677 0.500 Te
0.000 0.000 0.000 Rb
0.500 0.500 0.000 Rb
0.877 0.623 0.000 In
0.623 0.123 0.000 In
0.123 0.377 0.000 In
0.377 0.877 0.000 In

Record 2
PBE La2HoErHg2, relaxed; formation energy = -0.338 eV per atom; mass density = 9.4 g/cm3
1.0
5.165 0.000 0.000
0.000 7.144 0.000
0.000 0.000 9.637
La Er Ho Hg
4 2 2 4
direct
0.000 0.831 0.828 La
0.000 0.331 0.172 La
0.500 0.023 0.055 La
0.500 0.523 0.945 La
0.500 0.678 0.330 Er
0.500 0.178 0.670 Er
0.000 0.491 0.552 Ho
0.000 0.991 0.448 Ho
0.500 0.746 0.634 Hg
0.500 0.246 0.366 Hg
0.000 0.775 0.166 Hg
0.000 0.275 0.834 Hg

Record 3
PBE Na3Sr8Ir, relaxed; formation energy = -0.013 eV per atom; mass density = 2.9 g/cm3
1.0
-5.265 3.034 -6.166
4.354 -8.310 -7.806
-9.672 -2.642 6.958
Ir Sr Na
2 16 6
direct
0.075 0.333 0.667 Ir
0.575 0.667 0.333 Ir
0.285 0.214 0.428 Sr
0.285 0.214 0.786 Sr
0.690 0.333 0.667 Sr
0.785 0.786 0.214 Sr
0.785 0.786 0.572 Sr
0.982 0.061 0.531 Sr
0.482 0.531 0.061 Sr
0.482 0.531 0.469 Sr
0.785 0.428 0.214 Sr
0.285 0.572 0.786 Sr
0.190 0.667 0.333 Sr
0.982 0.469 0.531 Sr
0.496 0.000 0.000 Sr
0.482 0.939 0.469 Sr
0.982 0.469 0.939 Sr
0.996 0.000 0.000 Sr
0.237 0.844 0.156 Na
0.237 0.844 0.688 Na
0.737 0.156 0.844 Na
0.237 0.312 0.156 Na
0.737 0.156 0.312 Na
0.737 0.688 0.844 Na

Record 4
PBE SiAgAs2, relaxed; mass density = 6.1 g/cm3; formation energy (no corrections) = 0.2158 eV/atom
1.0
-1.897 -2.921 1.009
2.949 -2.628 -2.063
3.688 -1.257 3.294
As Ag Si
2 1 1
direct
0.000 0.508 0.457 As
0.000 0.992 0.043 As
0.500 0.750 0.750 Ag
0.500 0.250 0.250 Si

Record 5
PBE RbTlI2, relaxed; mass density = 3.3 g/cm3; formation energy (no corrections) = -0.8728 eV/atom
1.0
5.563 0.000 0.000
2.782 4.818 0.000
2.782 1.606 10.327
Rb I Tl
1 2 1
direct
0.500 0.500 0.500 Rb
0.896 0.896 0.312 I
0.104 0.104 0.688 I
0.000 0.000 0.000 Tl

Record 6
PBE Dy3TlPt2, relaxed; formation energy = -0.940 eV per atom; mass density = 12.8 g/cm3
1.0
3.543 0.000 0.000
0.000 3.543 0.000
0.000 0.000 11.171
Pt Dy Tl
2 3 1
direct
0.500 0.500 0.841 Pt
0.500 0.500 0.159 Pt
0.000 0.000 0.306 Dy
0.000 0.000 0.694 Dy
0.000 0.000 0.000 Dy
0.500 0.500 0.500 Tl

Record 7
PBE PmDyHo4S8, relaxed; mass density = 5.5 g/cm3; formation energy (no corrections) = -1.9275 eV/atom
1.0
8.055 0.000 0.000
4.028 6.976 0.000
4.028 2.325 6.586
Ho Pm S Dy
4 1 8 1
direct
0.999 0.999 0.499 Ho
0.625 0.625 0.125 Ho
0.999 0.502 0.499 Ho
0.502 0.999 0.499 Ho
0.375 0.375 0.876 Pm
0.240 0.240 0.738 S
0.239 0.239 0.283 S
0.229 0.756 0.258 S
0.240 0.782 0.738 S
0.756 0.756 0.258 S
0.756 0.229 0.258 S
0.782 0.240 0.738 S
0.757 0.757 0.728 S
0.999 0.999 0.002 Dy

Record 8
PBE SmZnGa2Rh2, relaxed; formation energy = -0.307 eV per atom; mass density = 8.0 g/cm3
1.0
4.596 0.000 0.000
0.000 4.596 0.000
0.000 0.000 5.525
Ga Sm Zn Rh
2 1 1 2
direct
0.500 0.500 0.744 Ga
0.500 0.500 0.256 Ga
0.000 0.000 0.500 Sm
0.000 0.000 0.000 Zn
0.000 0.500 0.000 Rh
0.500 0.000 0.000 Rh

What did the second record say?
PBE La2HoErHg2, relaxed; formation energy = -0.338 eV per atom; mass density = 9.4 g/cm3
1.0
5.165 0.000 0.000
0.000 7.144 0.000
0.000 0.000 9.637
La Er Ho Hg
4 2 2 4
direct
0.000 0.831 0.828 La
0.000 0.331 0.172 La
0.500 0.023 0.055 La
0.500 0.523 0.945 La
0.500 0.678 0.330 Er
0.500 0.178 0.670 Er
0.000 0.491 0.552 Ho
0.000 0.991 0.448 Ho
0.500 0.746 0.634 Hg
0.500 0.246 0.366 Hg
0.000 0.775 0.166 Hg
0.000 0.275 0.834 Hg